No. 1
VASP calculation (PBE-GGA) on crystalline Pm2Y6Er3Mg at its relaxed geometry.

Cell and atoms, written as CIF:
```
data_Pm2Y6Er3Mg
_chemical_formula_sum 'Pm2 Y6 Er3 Mg1'
_cell_length_a 6.140
_cell_length_b 6.140
_cell_length_c 11.755
_cell_angle_alpha 95.02
_cell_angle_beta 95.02
_cell_angle_gamma 120.04
_symmetry_space_group_name_H-M 'P 1'
_symmetry_Int_Tables_number 1
loop_
_symmetry_equiv_pos_as_xyz
'x,y,z'
loop_
_atom_site_label
_atom_site_type_symbol
_atom_site_fract_x
_atom_site_fract_y
_atom_site_fract_z
Pm1 Pm 0.166 0.834 0.000
Pm2 Pm 0.834 0.166 0.000
Y1 Y 0.085 0.417 0.748
Y2 Y 0.252 0.252 0.252
Y3 Y 0.417 0.085 0.748
Y4 Y 0.583 0.915 0.252
Y5 Y 0.748 0.748 0.748
Y6 Y 0.915 0.583 0.252
Er1 Er 0.000 0.000 0.500
Er2 Er 0.335 0.665 0.500
Er3 Er 0.665 0.335 0.500
Mg1 Mg 0.500 0.500 0.000
```

Values from the calculation:
D(E_F) ... 18.65 states/eV/cell
Crystal system ... monoclinic
Space-group type ... C2/m, No. 12
DFT total energy ... -5.271 eV/atom
Formation energy from the elements ... 0.026 eV/atom
Magnetic moment ... 0.0000 μB/atom

No. 2
VASP calculation (PBE-GGA) on crystalline Na2Mg2TcO6 at its relaxed geometry.

Cell and atoms, written as CIF:
```
data_Na2Mg2TcO6
_chemical_formula_sum 'Na2 Mg2 Tc1 O6'
_cell_length_a 5.235
_cell_length_b 5.235
_cell_length_c 5.820
_cell_angle_alpha 99.43
_cell_angle_beta 99.43
_cell_angle_gamma 118.67
_symmetry_space_group_name_H-M 'P 1'
_symmetry_Int_Tables_number 1
loop_
_symmetry_equiv_pos_as_xyz
'x,y,z'
loop_
_atom_site_label
_atom_site_type_symbol
_atom_site_fract_x
_atom_site_fract_y
_atom_site_fract_z
Na1 Na 0.172 0.828 0.000
Na2 Na 0.828 0.172 0.000
Mg1 Mg 0.337 0.663 0.500
Mg2 Mg 0.663 0.337 0.500
Tc1 Tc 0.000 0.000 0.500
O1 O 0.061 0.377 0.693
O2 O 0.241 0.241 0.307
O3 O 0.377 0.061 0.693
O4 O 0.623 0.939 0.307
O5 O 0.759 0.759 0.693
O6 O 0.939 0.623 0.307
```

Values from the calculation:
D(E_F) ... 3.60 states/eV/cell
Crystal system ... monoclinic
Space-group type ... C2/m, No. 12
DFT total energy ... -6.091 eV/atom
Raw formation energy ... -1.915 eV/atom
Magnetic moment ... 0.0923 μB/atom

No. 3
VASP calculation (PBE-GGA) on crystalline Pm6ScTl3 at its relaxed geometry.

Cell and atoms, written as CIF:
```
data_Pm6ScTl3
_chemical_formula_sum 'Pm12 Sc2 Tl6'
_cell_length_a 9.768
_cell_length_b 5.441
_cell_length_c 12.003
_cell_angle_alpha 90.00
_cell_angle_beta 107.77
_cell_angle_gamma 90.00
_symmetry_space_group_name_H-M 'P 1'
_symmetry_Int_Tables_number 1
loop_
_symmetry_equiv_pos_as_xyz
'x,y,z'
loop_
_atom_site_label
_atom_site_type_symbol
_atom_site_fract_x
_atom_site_fract_y
_atom_site_fract_z
Pm1 Pm 0.041 0.250 0.409
Pm2 Pm 0.158 0.750 0.178
Pm3 Pm 0.250 0.250 0.006
Pm4 Pm 0.337 0.750 0.800
Pm5 Pm 0.374 0.250 0.341
Pm6 Pm 0.395 0.250 0.621
Pm7 Pm 0.605 0.750 0.379
Pm8 Pm 0.626 0.750 0.659
Pm9 Pm 0.663 0.250 0.200
Pm10 Pm 0.750 0.750 0.994
Pm11 Pm 0.842 0.250 0.822
Pm12 Pm 0.959 0.750 0.591
Sc1 Sc 0.465 0.750 0.085
Sc2 Sc 0.535 0.250 0.915
Tl1 Tl 0.038 0.750 0.886
Tl2 Tl 0.125 0.250 0.718
Tl3 Tl 0.273 0.750 0.470
Tl4 Tl 0.727 0.250 0.530
Tl5 Tl 0.875 0.750 0.282
Tl6 Tl 0.962 0.250 0.114
```

Values from the calculation:
D(E_F) ... 26.23 states/eV/cell
Crystal system ... monoclinic
Space-group type ... P2_1/m, No. 11
DFT total energy ... -4.379 eV/atom
Formation energy from the elements ... -0.185 eV/atom
Magnetic moment ... 0.0000 μB/atom

No. 4
VASP calculation (PBE-GGA) on crystalline LiIn2Ir2 at its relaxed geometry.

Cell and atoms, written as CIF:
```
data_LiIn2Ir2
_chemical_formula_sum 'Li1 In2 Ir2'
_cell_length_a 6.219
_cell_length_b 6.219
_cell_length_c 6.219
_cell_angle_alpha 137.35
_cell_angle_beta 137.35
_cell_angle_gamma 61.90
_symmetry_space_group_name_H-M 'P 1'
_symmetry_Int_Tables_number 1
loop_
_symmetry_equiv_pos_as_xyz
'x,y,z'
loop_
_atom_site_label
_atom_site_type_symbol
_atom_site_fract_x
_atom_site_fract_y
_atom_site_fract_z
Li1 Li 0.000 0.000 0.000
In1 In 0.250 0.750 0.500
In2 In 0.750 0.250 0.500
Ir1 Ir 0.387 0.387 0.000
Ir2 Ir 0.613 0.613 0.000
```

Values from the calculation:
D(E_F) ... 2.81 states/eV/cell
Crystal system ... tetragonal
Space-group type ... I4/mmm, No. 139
DFT total energy ... -4.927 eV/atom
Relative energy among the computed polymorphs ... 232 meV/atom
Formation energy from the elements ... 0.095 eV/atom
Magnetic moment ... 0.0000 μB/atom

No. 5
VASP calculation (PBE-GGA) on crystalline SrEu2Cd at its relaxed geometry.

Cell and atoms, written as CIF:
```
data_SrEu2Cd
_chemical_formula_sum 'Sr1 Eu2 Cd1'
_cell_length_a 5.941
_cell_length_b 5.941
_cell_length_c 5.941
_cell_angle_alpha 60.00
_cell_angle_beta 60.00
_cell_angle_gamma 60.00
_symmetry_space_group_name_H-M 'P 1'
_symmetry_Int_Tables_number 1
loop_
_symmetry_equiv_pos_as_xyz
'x,y,z'
loop_
_atom_site_label
_atom_site_type_symbol
_atom_site_fract_x
_atom_site_fract_y
_atom_site_fract_z
Sr1 Sr 0.000 0.000 0.000
Eu1 Eu 0.250 0.250 0.250
Eu2 Eu 0.750 0.750 0.750
Cd1 Cd 0.500 0.500 0.500
```

Values from the calculation:
D(E_F) ... 16.21 states/eV/cell
Crystal system ... cubic
Space-group type ... Fm-3m, No. 225
DFT total energy ... -5.813 eV/atom
Relative energy among the computed polymorphs ... 137 meV/atom
Formation energy from the elements ... -0.027 eV/atom
Magnetic moment ... 3.7241 μB/atom

No. 6
VASP calculation (PBE-GGA) on crystalline Nd4GaPSe2 at its relaxed geometry.

Cell and atoms, written as CIF:
```
data_Nd4GaPSe2
_chemical_formula_sum 'Nd4 Ga1 P1 Se2'
_cell_length_a 7.378
_cell_length_b 4.172
_cell_length_c 7.418
_cell_angle_alpha 90.00
_cell_angle_beta 108.77
_cell_angle_gamma 90.00
_symmetry_space_group_name_H-M 'P 1'
_symmetry_Int_Tables_number 1
loop_
_symmetry_equiv_pos_as_xyz
'x,y,z'
loop_
_atom_site_label
_atom_site_type_symbol
_atom_site_fract_x
_atom_site_fract_y
_atom_site_fract_z
Nd1 Nd 0.241 0.000 0.236
Nd2 Nd 0.246 0.500 0.754
Nd3 Nd 0.754 0.500 0.246
Nd4 Nd 0.759 0.000 0.764
Ga1 Ga 0.500 0.000 0.000
P1 P 0.000 0.500 0.000
Se1 Se 0.000 0.000 0.500
Se2 Se 0.500 0.500 0.500
```

Values from the calculation:
D(E_F) ... 2.32 states/eV/cell
Crystal system ... monoclinic
Space-group type ... P2/m, No. 10
DFT total energy ... -5.778 eV/atom
Raw formation energy ... -1.469 eV/atom
Magnetic moment ... 0.0000 μB/atom

No. 7
VASP calculation (PBE-GGA) on crystalline NaAgRhSe2 at its relaxed geometry.

Cell and atoms, written as CIF:
```
data_NaAgRhSe2
_chemical_formula_sum 'Na1 Ag1 Rh1 Se2'
_cell_length_a 4.878
_cell_length_b 4.878
_cell_length_c 5.187
_cell_angle_alpha 90.00
_cell_angle_beta 90.00
_cell_angle_gamma 90.00
_symmetry_space_group_name_H-M 'P 1'
_symmetry_Int_Tables_number 1
loop_
_symmetry_equiv_pos_as_xyz
'x,y,z'
loop_
_atom_site_label
_atom_site_type_symbol
_atom_site_fract_x
_atom_site_fract_y
_atom_site_fract_z
Na1 Na 0.000 0.000 0.000
Ag1 Ag 0.500 0.500 0.000
Rh1 Rh 0.500 0.500 0.500
Se1 Se 0.000 0.500 0.500
Se2 Se 0.500 0.000 0.500
```

Values from the calculation:
D(E_F) ... 5.91 states/eV/cell
Crystal system ... tetragonal
Space-group type ... P4/mmm, No. 123
DFT total energy ... -3.751 eV/atom
Raw formation energy ... -0.053 eV/atom
Relative energy among the computed polymorphs ... 0 meV/atom
Magnetic moment ... 0.0257 μB/atom

No. 8
VASP calculation (PBE-GGA) on crystalline YPtW2Cl at its relaxed geometry.

Cell and atoms, written as CIF:
```
data_YPtW2Cl
_chemical_formula_sum 'Y1 Pt1 W2 Cl1'
_cell_length_a 4.889
_cell_length_b 4.889
_cell_length_c 5.033
_cell_angle_alpha 90.00
_cell_angle_beta 90.00
_cell_angle_gamma 90.00
_symmetry_space_group_name_H-M 'P 1'
_symmetry_Int_Tables_number 1
loop_
_symmetry_equiv_pos_as_xyz
'x,y,z'
loop_
_atom_site_label
_atom_site_type_symbol
_atom_site_fract_x
_atom_site_fract_y
_atom_site_fract_z
Y1 Y 0.000 0.000 0.000
Pt1 Pt 0.500 0.500 0.500
W1 W 0.000 0.500 0.500
W2 W 0.500 0.000 0.500
Cl1 Cl 0.500 0.500 0.000
```

Values from the calculation:
D(E_F) ... 7.80 states/eV/cell
Crystal system ... tetragonal
Space-group type ... P4/mmm, No. 123
DFT total energy ... -6.671 eV/atom
Raw formation energy ... 1.380 eV/atom
Magnetic moment ... 0.2299 μB/atom

No. 9
VASP calculation (PBE-GGA) on crystalline HoPd8Au6 at its relaxed geometry.

Cell and atoms, written as CIF:
```
data_HoPd8Au6
_chemical_formula_sum 'Ho1 Pd8 Au6'
_cell_length_a 8.203
_cell_length_b 8.203
_cell_length_c 4.647
_cell_angle_alpha 90.00
_cell_angle_beta 90.00
_cell_angle_gamma 120.00
_symmetry_space_group_name_H-M 'P 1'
_symmetry_Int_Tables_number 1
loop_
_symmetry_equiv_pos_as_xyz
'x,y,z'
loop_
_atom_site_label
_atom_site_type_symbol
_atom_site_fract_x
_atom_site_fract_y
_atom_site_fract_z
Ho1 Ho 0.000 0.000 0.000
Pd1 Pd 0.000 0.326 0.500
Pd2 Pd 0.000 0.674 0.500
Pd3 Pd 0.326 0.000 0.500
Pd4 Pd 0.326 0.326 0.500
Pd5 Pd 0.333 0.667 0.500
Pd6 Pd 0.667 0.333 0.500
Pd7 Pd 0.674 0.000 0.500
Pd8 Pd 0.674 0.674 0.500
Au1 Au 0.214 0.428 0.000
Au2 Au 0.214 0.786 0.000
Au3 Au 0.428 0.214 0.000
Au4 Au 0.572 0.786 0.000
Au5 Au 0.786 0.214 0.000
Au6 Au 0.786 0.572 0.000
```

Values from the calculation:
D(E_F) ... 7.70 states/eV/cell
Crystal system ... hexagonal
Space-group type ... P6/mmm, No. 191
DFT total energy ... -4.565 eV/atom
Formation energy from the elements ... -0.179 eV/atom
Magnetic moment ... 0.0000 μB/atom

No. 10
VASP calculation (PBE-GGA) on crystalline Li2ZnAg3 at its relaxed geometry.

Cell and atoms, written as CIF:
```
data_Li2ZnAg3
_chemical_formula_sum 'Li4 Zn2 Ag6'
_cell_length_a 4.575
_cell_length_b 6.112
_cell_length_c 7.129
_cell_angle_alpha 90.00
_cell_angle_beta 106.43
_cell_angle_gamma 90.00
_symmetry_space_group_name_H-M 'P 1'
_symmetry_Int_Tables_number 1
loop_
_symmetry_equiv_pos_as_xyz
'x,y,z'
loop_
_atom_site_label
_atom_site_type_symbol
_atom_site_fract_x
_atom_site_fract_y
_atom_site_fract_z
Li1 Li 0.000 0.000 0.000
Li2 Li 0.000 0.500 0.000
Li3 Li 0.335 0.000 0.669
Li4 Li 0.665 0.000 0.331
Zn1 Zn 0.337 0.500 0.673
Zn2 Zn 0.663 0.500 0.327
Ag1 Ag 0.167 0.250 0.336
Ag2 Ag 0.167 0.750 0.336
Ag3 Ag 0.500 0.247 0.000
Ag4 Ag 0.500 0.753 0.000
Ag5 Ag 0.833 0.250 0.664
Ag6 Ag 0.833 0.750 0.664
```

Values from the calculation:
D(E_F) ... 3.63 states/eV/cell
Crystal system ... monoclinic
Space-group type ... P2/m, No. 10
DFT total energy ... -2.454 eV/atom
Relative energy among the computed polymorphs ... 0 meV/atom
Formation energy from the elements ... -0.178 eV/atom
Magnetic moment ... 0.0000 μB/atom

No. 11
VASP calculation (PBE-GGA) on crystalline P2BrCl at its relaxed geometry.

Cell and atoms, written as CIF:
```
data_P2BrCl
_chemical_formula_sum 'P2 Br1 Cl1'
_cell_length_a 3.207
_cell_length_b 4.822
_cell_length_c 5.530
_cell_angle_alpha 90.00
_cell_angle_beta 90.00
_cell_angle_gamma 90.00
_symmetry_space_group_name_H-M 'P 1'
_symmetry_Int_Tables_number 1
loop_
_symmetry_equiv_pos_as_xyz
'x,y,z'
loop_
_atom_site_label
_atom_site_type_symbol
_atom_site_fract_x
_atom_site_fract_y
_atom_site_fract_z
P1 P 0.000 0.000 0.000
P2 P 0.500 0.000 0.500
Br1 Br 0.000 0.500 0.000
Cl1 Cl 0.500 0.500 0.500
```

Values from the calculation:
D(E_F) ... 1.52 states/eV/cell
Crystal system ... orthorhombic
Space-group type ... Pmmm, No. 47
DFT total energy ... -3.030 eV/atom
Raw formation energy ... 0.554 eV/atom
Relative energy among the computed polymorphs ... 795 meV/atom
Magnetic moment ... 0.0000 μB/atom

No. 12
VASP calculation (PBE-GGA) on crystalline P3PbS at its relaxed geometry.

Cell and atoms, written as CIF:
```
data_P3PbS
_chemical_formula_sum 'P3 Pb1 S1'
_cell_length_a 5.186
_cell_length_b 5.186
_cell_length_c 5.186
_cell_angle_alpha 90.00
_cell_angle_beta 90.00
_cell_angle_gamma 90.00
_symmetry_space_group_name_H-M 'P 1'
_symmetry_Int_Tables_number 1
loop_
_symmetry_equiv_pos_as_xyz
'x,y,z'
loop_
_atom_site_label
_atom_site_type_symbol
_atom_site_fract_x
_atom_site_fract_y
_atom_site_fract_z
P1 P 0.000 0.000 0.500
P2 P 0.000 0.500 0.000
P3 P 0.500 0.000 0.000
Pb1 Pb 0.000 0.000 0.000
S1 S 0.500 0.500 0.500
```

Values from the calculation:
D(E_F) ... 6.59 states/eV/cell
Crystal system ... cubic
Space-group type ... Pm-3m, No. 221
DFT total energy ... -3.020 eV/atom
Raw formation energy ... 1.793 eV/atom
Relative energy among the computed polymorphs ... 1083 meV/atom
Magnetic moment ... 0.0000 μB/atom